Below is an optimized crystal structure of NaHgBi2, with properties calculated at the PBE level.

The structure in CIF format:
```
data_NaHgBi2
_chemical_formula_sum 'Na1 Hg1 Bi2'
_symmetry_space_group_name_H-M 'P 4/m m m'
_symmetry_Int_Tables_number 123
_symmetry_space_group_name_Hall '-P 4 2'
_cell_length_a 4.1221
_cell_length_b 4.1221
_cell_length_c 6.8845
_cell_angle_alpha 90.00
_cell_angle_beta 90.00
_cell_angle_gamma 90.00
loop_
_atom_site_label
_atom_site_fract_x
_atom_site_fract_y
_atom_site_fract_z
Na1 0.0000 0.0000 0.0000
Hg1 0.0000 0.0000 0.5000
Bi1 0.5000 0.5000 0.2742
```

Output
Its density of states at the Fermi level is 1.7 states/eV/cell. For the final energy, the calculation gives -2.40 eV/atom. The spin magnetization comes out at 0.000 μB per atom. Its crystal system is tetragonal. The value obtained for the formation energy from the elements is -0.0507 eV per atom.

Below is an optimized crystal structure of SmTh2Al, with properties calculated at the PBE level.

The structure in CIF format:
```
data_SmTh2Al
_chemical_formula_sum 'Sm1 Th2 Al1'
_symmetry_space_group_name_H-M 'P 4/m m m'
_symmetry_Int_Tables_number 123
_symmetry_space_group_name_Hall '-P 4 2'
_cell_length_a 4.8313
_cell_length_b 4.8313
_cell_length_c 4.9111
_cell_angle_alpha 90.00
_cell_angle_beta 90.00
_cell_angle_gamma 90.00
loop_
_atom_site_label
_atom_site_fract_x
_atom_site_fract_y
_atom_site_fract_z
Sm1 0.0000 0.0000 0.0000
Th1 0.0000 0.5000 0.5000
Al1 0.5000 0.5000 0.0000
```

Output
Its density of states at the Fermi level is 4.2 states/eV/cell. For the final energy, the calculation gives -5.95 eV/atom. The spin magnetization comes out at 0.000 μB per atom. Its crystal system is tetragonal. The relative energy among the computed polymorphs is 0 meV/atom. The value obtained for the formation energy from the elements is -0.1210 eV per atom.

Below is an optimized crystal structure of ZrZn2PRh, with properties calculated at the PBE level.

The structure in CIF format:
```
data_ZrZn2PRh
_chemical_formula_sum 'Zr1 Zn2 P1 Rh1'
_symmetry_space_group_name_H-M 'P 4/m m m'
_symmetry_Int_Tables_number 123
_symmetry_space_group_name_Hall '-P 4 2'
_cell_length_a 4.3727
_cell_length_b 4.3727
_cell_length_c 4.9458
_cell_angle_alpha 90.00
_cell_angle_beta 90.00
_cell_angle_gamma 90.00
loop_
_atom_site_label
_atom_site_fract_x
_atom_site_fract_y
_atom_site_fract_z
Zr1 0.0000 0.0000 0.0000
Zn1 0.0000 0.5000 0.5000
P1 0.0000 0.0000 0.5000
Rh1 0.5000 0.5000 0.0000
```

Output
Its density of states at the Fermi level is 3.6 states/eV/cell. For the final energy, the calculation gives -4.54 eV/atom. The spin magnetization comes out at 0.000 μB per atom. Its crystal system is tetragonal. The value obtained for the formation energy from the elements is 0.2266 eV per atom.